DFT (GGA-PBE) results for a geometry-optimized BaMgTeN2 structure.

```
BaMgTeN2
1.0
4.671 0.000 0.000
0.000 4.671 0.000
0.000 0.000 5.683
Mg Te Ba N
1 1 1 2
Cartesian
0.000 0.000 0.000 Mg
0.000 0.000 2.841 Te
2.335 2.335 2.841 Ba
0.000 2.335 0.000 N
2.335 0.000 0.000 N
```

ΔE to the lowest computed polymorph	0	meV/atom
ΔE_f (raw)	487	meV/atom